CaFeSb | PBE | relaxed

- DFT total energy: -5.191 eV per atom
- Formation energy (no corrections): -0.33 eV per atom
- Total moment: 0.00 μB per cell

Geometry as CIF:
```
data_CaFeSb
_cell_length_a 4.347
_cell_length_b 4.347
_cell_length_c 6.915
_cell_angle_alpha 90.00
_cell_angle_beta 90.00
_cell_angle_gamma 90.00
_space_group_name_H-M_alt 'P 4/n m m'
_space_group_IT_number 129
loop_
_space_group_symop_operation_xyz
'x,y,z'
'-x,-y,-z'
'-y+1/2,x,z'
'y+1/2,-x,-z'
'-x+1/2,-y+1/2,z'
'x+1/2,y+1/2,-z'
'y,-x+1/2,z'
'-y,x+1/2,-z'
'x+1/2,-y,-z'
'-x+1/2,y,z'
'-y,-x,-z'
'y,x,z'
'-x,y+1/2,-z'
'x,-y+1/2,z'
'y+1/2,x+1/2,-z'
'-y+1/2,-x+1/2,z'
loop_
_atom_site_label
_atom_site_type_symbol
_atom_site_fract_x
_atom_site_fract_y
_atom_site_fract_z
Ca1 Ca 0.250 0.250 0.190
Fe1 Fe 0.250 0.750 0.500
Sb1 Sb 0.250 0.250 0.699
```

PmPr5DyEr2 | PBE | relaxed

- Formation energy from the elements: 0.14 eV/atom
- DFT total energy: -4.565 eV per atom
- Total moment: 0.00 μB per cell

Geometry as CIF:
```
data_PmPr5DyEr2
_cell_length_a 5.684
_cell_length_b 20.562
_cell_length_c 10.798
_cell_angle_alpha 90.00
_cell_angle_beta 90.00
_cell_angle_gamma 90.00
_space_group_name_H-M_alt 'C m c 21'
_space_group_IT_number 36
loop_
_space_group_symop_operation_xyz
'x,y,z'
'-x,-y,z+1/2'
'-x,y,z'
'x,-y,z+1/2'
'x+1/2,y+1/2,z'
'-x+1/2,-y+1/2,z+1/2'
'-x+1/2,y+1/2,z'
'x+1/2,-y+1/2,z+1/2'
loop_
_atom_site_label
_atom_site_type_symbol
_atom_site_fract_x
_atom_site_fract_y
_atom_site_fract_z
Pm1 Pm 0.000 0.200 0.000
Pr1 Pr 0.000 0.016 0.010
Pr2 Pr 0.000 0.281 0.301
Pr3 Pr 0.000 0.296 0.694
Pr4 Pr 0.000 0.388 0.014
Pr5 Pr 0.000 0.481 0.733
Dy1 Dy 0.000 0.409 0.450
Er1 Er 0.000 0.111 0.730
Er2 Er 0.000 0.116 0.302
```

Ca3HfPt | PBE | relaxed

- Formation energy from the elements: 0.18 eV/atom
- DFT total energy: -4.220 eV per atom
- Offset from the most stable computed form: 0.0000 eV per atom
- Total moment: 1.37 μB per cell

Geometry as CIF:
```
data_Ca3HfPt
_cell_length_a 5.481
_cell_length_b 5.481
_cell_length_c 5.481
_cell_angle_alpha 90.00
_cell_angle_beta 90.00
_cell_angle_gamma 90.00
_space_group_name_H-M_alt 'P m -3 m'
_space_group_IT_number 221
_space_group_name_Hall '-P 4 2 3'
loop_
_atom_site_label
_atom_site_type_symbol
_atom_site_fract_x
_atom_site_fract_y
_atom_site_fract_z
Ca1 Ca 0.000 0.000 0.500
Hf1 Hf 0.500 0.500 0.500
Pt1 Pt 0.000 0.000 0.000
```

Ti2NiSn2H | PBE | relaxed

- DFT total energy: -5.810 eV per atom
- Total moment: 0.42 μB per cell

Geometry as CIF:
```
data_Ti2NiSn2H
_cell_length_a 6.279
_cell_length_b 11.400
_cell_length_c 5.374
_cell_angle_alpha 90.00
_cell_angle_beta 90.00
_cell_angle_gamma 90.00
_space_group_name_H-M_alt 'I b a m'
_space_group_IT_number 72
_space_group_name_Hall '-I 2 2c'
loop_
_atom_site_label
_atom_site_type_symbol
_atom_site_fract_x
_atom_site_fract_y
_atom_site_fract_z
Ti1 Ti 0.178 0.072 0.000
Ni1 Ni 0.000 0.500 0.250
Sn1 Sn 0.199 0.327 0.000
H1 H 0.000 0.000 0.250
```

LaTiHRu2 | PBE | relaxed

- DFT total energy: -5.891 eV per atom
- Total moment: 0.00 μB per cell

Geometry as CIF:
```
data_LaTiHRu2
_cell_length_a 4.408
_cell_length_b 4.408
_cell_length_c 5.943
_cell_angle_alpha 90.00
_cell_angle_beta 90.00
_cell_angle_gamma 90.00
_space_group_name_H-M_alt 'P 4/m m m'
_space_group_IT_number 123
_space_group_name_Hall '-P 4 2'
loop_
_atom_site_label
_atom_site_type_symbol
_atom_site_fract_x
_atom_site_fract_y
_atom_site_fract_z
La1 La 0.000 0.000 0.000
Ti1 Ti 0.000 0.000 0.500
H1 H 0.500 0.500 0.000
Ru1 Ru 0.000 0.500 0.500
```

Li2ZnTc | PBE | relaxed

- Formation energy from the elements: 0.11 eV/atom
- DFT total energy: -3.760 eV per atom
- Total moment: 2.25 μB per cell

Geometry as CIF:
```
data_Li2ZnTc
_cell_length_a 2.6707
_cell_length_b 2.6707
_cell_length_c 28.2742
_cell_angle_alpha 90.00
_cell_angle_beta 90.00
_cell_angle_gamma 120.00
_space_group_name_H-M_alt 'R -3 m'
_space_group_IT_number 166
_space_group_name_Hall '-R 3 2"'
loop_
_atom_site_label
_atom_site_type_symbol
_atom_site_fract_x
_atom_site_fract_y
_atom_site_fract_z
Li1 Li 0.0000 0.0000 0.2485
Zn1 Zn 0.0000 0.0000 0.0000
Tc1 Tc 0.0000 0.0000 0.5000
```

Ac8Pt3 | PBE | relaxed

- Formation energy from the elements: -0.58 eV/atom
- DFT total energy: -5.219 eV per atom
- Total moment: 0.00 μB per cell

Geometry as CIF:
```
data_Ac8Pt3
_cell_length_a 10.4825
_cell_length_b 10.4825
_cell_length_c 13.2887
_cell_angle_alpha 90.00
_cell_angle_beta 90.00
_cell_angle_gamma 120.00
_space_group_name_H-M_alt 'R -3'
_space_group_IT_number 148
_space_group_name_Hall '-R 3'
loop_
_atom_site_label
_atom_site_type_symbol
_atom_site_fract_x
_atom_site_fract_y
_atom_site_fract_z
Ac1 Ac 0.0000 0.0000 0.1524
Ac2 Ac 0.0528 0.2683 0.6164
Pt1 Pt 0.0000 0.5000 0.5000
```

CsLiMnSe3 | PBE | relaxed

- DFT total energy: -4.528 eV per atom
- Formation energy (no corrections): -0.80 eV per atom
- Total moment: 11.97 μB per cell

Geometry as CIF:
```
data_CsLiMnSe3
_cell_length_a 7.106
_cell_length_b 13.099
_cell_length_c 6.968
_cell_angle_alpha 90.00
_cell_angle_beta 90.00
_cell_angle_gamma 90.00
_space_group_name_H-M_alt 'C m c m'
_space_group_IT_number 63
_space_group_name_Hall '-C 2c 2'
loop_
_atom_site_label
_atom_site_type_symbol
_atom_site_fract_x
_atom_site_fract_y
_atom_site_fract_z
Cs1 Cs 0.000 0.249 0.250
Li1 Li 0.000 0.078 0.750
Mn1 Mn 0.000 0.448 0.750
Se1 Se 0.000 0.272 0.750
Se2 Se 0.230 0.500 0.000
```

Tb6SmDy2Tm3 | PBE | relaxed

- Formation energy from the elements: 0.02 eV/atom
- DFT total energy: -4.576 eV per atom
- Total moment: 0.00 μB per cell

Geometry as CIF:
```
data_Tb6SmDy2Tm3
_cell_length_a 6.141
_cell_length_b 10.626
_cell_length_c 11.733
_cell_angle_alpha 90.00
_cell_angle_beta 99.99
_cell_angle_gamma 90.00
_space_group_name_H-M_alt 'C 1 2/m 1'
_space_group_IT_number 12
loop_
_space_group_symop_operation_xyz
'x,y,z'
'-x,-y,-z'
'-x,y,-z'
'x,-y,z'
'x+1/2,y+1/2,z'
'-x+1/2,-y+1/2,-z'
'-x+1/2,y+1/2,-z'
'x+1/2,-y+1/2,z'
loop_
_atom_site_label
_atom_site_type_symbol
_atom_site_fract_x
_atom_site_fract_y
_atom_site_fract_z
Tb1 Tb 0.249 0.000 0.248
Tb2 Tb 0.249 0.333 0.247
Sm1 Sm 0.000 0.000 0.500
Dy1 Dy 0.000 0.333 0.500
Tm1 Tm 0.000 0.167 0.000
Tm2 Tm 0.000 0.500 0.000
```

HoSc2Hg | PBE | relaxed

- Formation energy from the elements: -0.19 eV/atom
- DFT total energy: -4.575 eV per atom
- Offset from the most stable computed form: 0.0000 eV per atom
- Total moment: 0.00 μB per cell

Geometry as CIF:
```
data_HoSc2Hg
_cell_length_a 3.408
_cell_length_b 3.408
_cell_length_c 8.567
_cell_angle_alpha 90.00
_cell_angle_beta 90.00
_cell_angle_gamma 90.00
_space_group_name_H-M_alt 'P 4/m m m'
_space_group_IT_number 123
_space_group_name_Hall '-P 4 2'
loop_
_atom_site_label
_atom_site_type_symbol
_atom_site_fract_x
_atom_site_fract_y
_atom_site_fract_z
Ho1 Ho 0.000 0.000 0.000
Sc1 Sc 0.500 0.500 0.279
Hg1 Hg 0.000 0.000 0.500
```

TbDyH | PBE | relaxed

- DFT total energy: -4.236 eV per atom
- Offset from the most stable computed form: 0.2003 eV per atom
- Total moment: 0.00 μB per cell

Geometry as CIF:
```
data_TbDyH
_cell_length_a 13.143
_cell_length_b 3.329
_cell_length_c 5.889
_cell_angle_alpha 90.00
_cell_angle_beta 90.88
_cell_angle_gamma 90.00
_space_group_name_H-M_alt 'C 1 2/m 1'
_space_group_IT_number 12
loop_
_space_group_symop_operation_xyz
'x,y,z'
'-x,-y,-z'
'-x,y,-z'
'x,-y,z'
'x+1/2,y+1/2,z'
'-x+1/2,-y+1/2,-z'
'-x+1/2,y+1/2,-z'
'x+1/2,-y+1/2,z'
loop_
_atom_site_label
_atom_site_type_symbol
_atom_site_fract_x
_atom_site_fract_y
_atom_site_fract_z
Tb1 Tb 0.191 0.000 0.267
Dy1 Dy 0.070 0.000 0.771
H1 H 0.076 0.500 0.088
```

Ca2AsBr | PBE | relaxed

- DFT total energy: -3.849 eV per atom
- Formation energy (no corrections): -1.27 eV per atom
- Total moment: 0.00 μB per cell

Geometry as CIF:
```
data_Ca2AsBr
_cell_length_a 6.540
_cell_length_b 6.540
_cell_length_c 14.062
_cell_angle_alpha 90.00
_cell_angle_beta 90.00
_cell_angle_gamma 90.00
_space_group_name_H-M_alt 'I -4 2 d'
_space_group_IT_number 122
_space_group_name_Hall 'I -4 2bw'
loop_
_atom_site_label
_atom_site_type_symbol
_atom_site_fract_x
_atom_site_fract_y
_atom_site_fract_z
Ca1 Ca 0.218 0.250 0.125
As1 As 0.000 0.000 0.000
Br1 Br 0.000 0.000 0.500
```